CaZn2Br6 | PBE | optimized geometry

Summary:
ΔE_f (raw) ... -1.24 eV/atom
Space-group type ... C2/c
Calculated volume ... 589.35 Å³/cell
VASP energy ... -2.857 eV per atom
N(E_F) ... 0.0 states/eV/cell

extended XYZ file:
```
18
Lattice="6.759 -6.227 0.000 6.759 6.227 0.000 -1.475 0.000 7.001" Properties=species:S:1:pos:R:3 pbc="T T T"
Ca 5.652 4.815 5.251
Ca 6.390 -4.815 1.750
Zn 3.119 0.967 4.912
Zn 3.857 -0.967 1.412
Zn 8.186 0.967 5.590
Zn 8.924 -0.967 2.089
Br 0.653 0.943 4.466
Br 3.685 2.959 6.151
Br 1.391 -0.943 0.966
Br 4.338 0.999 2.790
Br 7.620 2.959 4.351
Br 3.600 -0.999 6.291
Br 8.442 0.999 0.711
Br 4.423 -2.959 2.651
Br 7.704 -0.999 4.212
Br 10.651 0.943 6.036
Br 8.357 -2.959 0.850
Br 11.389 -0.943 2.535
```